DFT (GGA-PBE) results for a relaxed Cr2SnH2 crystal.

a b c (Å): 3.051 3.051 10.589
angles (deg): 90.00 90.00 90.00
Space group I4/mmm (No. 139)
Unique sites:
Cr: 0.000 0.000 0.168 [4 per cell]
Sn: 0.000 0.000 0.500 [2 per cell]
H: 0.000 0.500 0.250 [4 per cell]

Computed properties:
Calculated volume: 49.3 Å³/f.u.
Final energy: -5.8218 eV per atom
Calculated density: 7.6 g/cm3